Entry from OQMD via LeMat-Bulk: LiMg6Cd after structural relaxation (PBE).

```
LiMg6Cd
1.0
6.3114 0.0000 0.0000
-3.1557 5.4658 0.0000
0.0000 0.0000 5.0059
Mg Cd Li
6 1 1
direct
0.4966 0.5034 0.0000
0.3340 0.1670 0.5000
0.8330 0.1670 0.5000
0.0068 0.5034 0.0000
0.8330 0.6660 0.5000
0.4966 0.9932 0.0000
0.0000 0.0000 0.0000
0.3333 0.6667 0.5000
```

Computed properties:
SG: P-6m2


Entry from OQMD via LeMat-Bulk: GdLu3Se6 after structural relaxation (PBE).

```
GdLu3Se6
1.0
-4.3264 4.3264 5.0227
4.3264 -4.3264 5.0227
4.3264 4.3264 -5.0227
Lu Se Gd
3 6 1
direct
0.5000 0.5000 0.0000
0.7500 0.2500 0.5000
0.2500 0.7500 0.5000
0.6742 0.0000 0.6742
0.2598 0.2598 0.0000
0.0000 0.3258 0.3258
0.3258 0.0000 0.3258
0.0000 0.6742 0.6742
0.7402 0.7402 0.0000
0.0000 0.0000 0.0000
```

Computed properties:
SG: I4/mmm
M_tot: 0.00 μB/f.u.


| no. | uncorrected energy (eV/atom) |
| --- | --- |
| 1 | -1.561 |
| 2 | -4.731 |